[1]
The following is a DFT calculation (PBE) of an optimized crystal structure of KSrRu2.

a b c (Å): 3.0693 3.0693 31.9110
angles (deg): 90.00 90.00 120.00
Space group R-3m (No. 166, hexagonal axes)
Symmetry-distinct sites (fractional):
K: 0.0000 0.0000 0.0000 x3
Sr: 0.0000 0.0000 0.5000 x3
Ru: 0.0000 0.0000 0.2454 x6

## Properties
formation enthalpy at 0 K	4.86	eV per formula unit
V	21.695	Å³/atom
relative energy among the computed polymorphs	3.25	eV/f.u.
DOS at the Fermi energy	1.188	states/eV per atom
total magnetic moment	1.58	μB per formula unit
calculated total energy	-4.1168	eV/atom

---

[2]
The following is a DFT calculation (PBE) of an optimized crystal structure of Ta2ZnCl.

a b c (Å): 6.605 6.605 6.605
angles (deg): 90.00 90.00 90.00
Space group F-43m (No. 216)
Symmetry-distinct sites (fractional):
Ta: 0.000 0.000 0.000 x4
Ta: 0.250 0.250 0.250 x4
Zn: 0.000 0.000 0.500 x4
Cl: 0.250 0.250 0.750 x4

## Properties
V	18.006	Å³/atom
relative energy among the computed polymorphs	3.67	eV/f.u.
ΔE_f (raw)	3.424	eV per formula unit
DOS at the Fermi energy	1.498	states/eV per atom
total magnetic moment	0.25	μB per formula unit
calculated total energy	-5.8505	eV/atom

---

[3]
The following is a DFT calculation (PBE) of an optimized crystal structure of Mg2CdMo.

a b c (Å): 2.878 2.878 9.294
angles (deg): 90.00 90.00 90.00
Space group P4mm (No. 99)
Symmetry-distinct sites (fractional):
Mg: 0.000 0.000 0.000 x1
Mg: 0.500 0.500 0.273 x1
Cd: 0.500 0.500 0.742 x1
Mo: 0.000 0.000 0.502 x1

## Properties
formation enthalpy at 0 K	0.96	eV per formula unit
V	19.244	Å³/atom
DOS at the Fermi energy	0.437	states/eV per atom
total magnetic moment	0.00	μB per formula unit
calculated total energy	-3.4927	eV/atom

---

[4]
The following is a DFT calculation (PBE) of an optimized crystal structure of Li2ZnMo.

a b c (Å): 5.393 9.092 2.482
angles (deg): 90.00 90.00 90.00
Space group Cmmm (No. 65)
Symmetry-distinct sites (fractional):
Li: 0.250 0.250 0.000 x4
Zn: 0.000 0.000 0.500 x2
Mo: 0.000 0.500 0.500 x2

## Properties
formation enthalpy at 0 K	1.12	eV per formula unit
V	15.212	Å³/atom
DOS at the Fermi energy	0.585	states/eV per atom
total magnetic moment	0.00	μB per formula unit
calculated total energy	-3.7043	eV/atom

---

[5]
The following is a DFT calculation (PBE) of an optimized crystal structure of Na2YZn2.

a b c (Å): 8.483 8.483 3.227
angles (deg): 90.00 90.00 90.00
Space group P4/mbm (No. 127)
Symmetry-distinct sites (fractional):
Na: 0.116 0.384 0.000 x4
Y: 0.000 0.000 0.000 x2
Zn: 0.188 0.688 0.500 x4

## Properties
formation enthalpy at 0 K	0.68	eV per formula unit
V	23.225	Å³/atom
relative energy among the computed polymorphs	0.56	eV/f.u.
DOS at the Fermi energy	0.717	states/eV per atom
total magnetic moment	0.00	μB per formula unit
calculated total energy	-2.1946	eV/atom

---

[6]
The following is a DFT calculation (PBE) of an optimized crystal structure of KSr2Fe.

a b c (Å): 5.194 5.194 11.994
angles (deg): 90.00 90.00 90.00
Space group I-4m2 (No. 119)
Symmetry-distinct sites (fractional):
K: 0.000 0.000 0.000 x2
Sr: 0.000 0.000 0.500 x2
Sr: 0.000 0.500 0.750 x2
Fe: 0.000 0.500 0.250 x2

## Properties
formation enthalpy at 0 K	3.04	eV per formula unit
V	40.442	Å³/atom
DOS at the Fermi energy	1.963	states/eV per atom
total magnetic moment	2.50	μB per formula unit
calculated total energy	-2.4720	eV/atom

---

[7]
The following is a DFT calculation (PBE) of an optimized crystal structure of AgHPd3.

a b c (Å): 4.046 4.046 4.046
angles (deg): 90.00 90.00 90.00
Space group Pm-3m (No. 221)
Symmetry-distinct sites (fractional):
Ag: 0.000 0.000 0.000 x1
H: 0.500 0.500 0.500 x1
Pd: 0.000 0.500 0.500 x3

## Properties
V	13.251	Å³/atom
relative energy among the computed polymorphs	0.00	eV/f.u.
DOS at the Fermi energy	0.470	states/eV per atom
total magnetic moment	0.00	μB per formula unit
calculated total energy	-4.4288	eV/atom

---

[8]
The following is a DFT calculation (PBE) of an optimized crystal structure of TmScS.

a b c (Å): 11.890 3.655 6.304
angles (deg): 90.00 100.43 90.00
Space group C2/m (No. 12)
Symmetry-distinct sites (fractional):
Tm: 0.115 0.000 0.357 x4
Sc: 0.122 0.500 0.885 x4
S: 0.242 0.000 0.751 x4

## Properties
V	22.451	Å³/atom
relative energy among the computed polymorphs	0.02	eV/f.u.
ΔE_f (raw)	-3.705	eV per formula unit
DOS at the Fermi energy	0.600	states/eV per atom
total magnetic moment	0.00	μB per formula unit
calculated total energy	-6.2119	eV/atom

---

[9]
The following is a DFT calculation (PBE) of an optimized crystal structure of HgPtSe2.

a b c (Å): 3.746 3.747 9.117
angles (deg): 101.26 90.38 119.98
Space group P-1 (No. 2)
Symmetry-distinct sites (fractional):
Hg: 0.000 0.000 0.000 x1
Pt: 0.500 0.000 0.500 x1
Se: 0.217 0.429 0.648 x2

## Properties
V	26.979	Å³/atom
relative energy among the computed polymorphs	0.00	eV/f.u.
ΔE_f (raw)	-1.171	eV per formula unit
DOS at the Fermi energy	0.000	states/eV per atom
total magnetic moment	0.00	μB per formula unit
calculated total energy	-3.6207	eV/atom

---

[10]
The following is a DFT calculation (PBE) of an optimized crystal structure of InTcBr2.

a b c (Å): 7.398 7.398 7.398
angles (deg): 90.00 90.00 90.00
Space group F-43m (No. 216)
Symmetry-distinct sites (fractional):
In: 0.000 0.000 0.000 x4
Tc: 0.250 0.250 0.250 x4
Br: 0.000 0.000 0.500 x4
Br: 0.250 0.250 0.750 x4

## Properties
V	25.307	Å³/atom
relative energy among the computed polymorphs	3.21	eV/f.u.
ΔE_f (raw)	2.924	eV per formula unit
DOS at the Fermi energy	1.218	states/eV per atom
total magnetic moment	4.00	μB per formula unit
calculated total energy	-3.3814	eV/atom

---

[11]
The following is a DFT calculation (PBE) of an optimized crystal structure of Ca3Nd4.

a b c (Å): 3.755 3.755 37.503
angles (deg): 90.00 90.00 90.00
Space group I4/mmm (No. 139)
Symmetry-distinct sites (fractional):
Ca: 0.000 0.000 0.000 x2
Ca: 0.000 0.000 0.289 x4
Nd: 0.000 0.000 0.138 x4
Nd: 0.000 0.000 0.426 x4

## Properties
formation enthalpy at 0 K	0.17	eV per formula unit
V	37.770	Å³/atom
DOS at the Fermi energy	1.263	states/eV per atom
total magnetic moment	0.00	μB per formula unit
calculated total energy	-3.5575	eV/atom

---

[12]
The following is a DFT calculation (PBE) of an optimized crystal structure of ZnInCl2.

a b c (Å): 3.604 6.573 9.126
angles (deg): 90.00 90.00 90.00
Space group Cmm2 (No. 35)
Symmetry-distinct sites (fractional):
Zn: 0.000 0.000 0.000 x2
In: 0.000 0.500 0.765 x2
Cl: 0.000 0.000 0.556 x2
Cl: 0.000 0.500 0.166 x2

## Properties
V	27.025	Å³/atom
relative energy among the computed polymorphs	0.44	eV/f.u.
ΔE_f (raw)	-2.291	eV per formula unit
DOS at the Fermi energy	0.140	states/eV per atom
total magnetic moment	0.00	μB per formula unit
calculated total energy	-2.4992	eV/atom